Entry 1:
Density functional theory data (PBE-GGA) for a relaxed Sr2MnGa3Au12 crystal.

Structure (POSCAR):
```
Sr2MnGa3Au12
1.0
-0.607 -2.992 7.826
6.931 0.038 4.747
0.371 5.511 6.330
Sr Mn Ga Au
2 1 3 12
direct
0.617 0.617 0.617
0.383 0.383 0.383
0.000 0.000 0.000
0.500 0.000 0.000
0.000 0.500 0.000
0.000 0.000 0.500
0.358 0.358 0.880
0.877 0.877 0.369
0.369 0.877 0.877
0.880 0.358 0.358
0.877 0.369 0.877
0.358 0.880 0.358
0.642 0.642 0.120
0.123 0.123 0.631
0.631 0.123 0.123
0.120 0.642 0.642
0.123 0.631 0.123
0.642 0.120 0.642
```

Summary:
Total DFT energy (no corrections) in eV/atom: -3.47
Calculated volume in Å³/atom: 24.5
D(E_F) in states/eV/atom: 0.382
E_form in meV/atom: -89

Entry 2:
Density functional theory data (PBE-GGA) for a relaxed Ce2DyPaS4 crystal.

Structure (POSCAR):
```
Ce2DyPaS4
1.0
3.929 0.000 0.000
0.000 6.871 0.145
0.000 -2.375 6.434
Ce Dy Pa S
2 1 1 4
direct
0.500 0.000 0.500
0.000 0.500 0.500
0.000 0.000 0.000
0.500 0.500 0.000
0.500 0.245 0.239
0.500 0.755 0.761
0.000 0.251 0.759
0.000 0.749 0.241
```

Summary:
Total DFT energy (no corrections) in eV/atom: -7.23
Calculated volume in Å³/atom: 21.9
D(E_F) in states/eV/atom: 1.533
ΔE_f (raw) in kJ/mol of formula units: -1482